Computed, not measured: a geometry-optimized Na3Ca2UTe6 structure at the GGA-PBE level of DFT.

Properties
Space-group type ... C2/m (12)
Formation energy without anion corrections ... -1.107 eV per atom
E ... -51.38 eV for the cell shown
DOS(E_F) ... 0.02 states/eV/atom
Spin magnetization ... 1.00 μB/cell

The structure in extended XYZ format:
```
12
Lattice="-0.554 2.862 7.214 -3.146 -6.911 -1.697 7.663 -2.022 -0.012" Properties=species:S:1:pos:R:3 pbc="T T T"
Ca -1.419 -0.398 4.242
Ca -2.282 -3.651 1.275
Te -1.044 -3.555 4.202
Te 0.507 -2.977 -0.112
Te 3.456 -3.093 5.616
Te 1.329 0.119 2.712
Te 5.007 -2.516 1.303
Te 2.634 -6.190 2.793
Na 2.836 0.186 5.689
Na 1.127 -6.256 -0.185
Na 1.981 -3.035 2.752
U 0.000 0.000 0.000
```

=====

Computed, not measured: a geometry-optimized NaCa2UTe4 structure at the GGA-PBE level of DFT.

Properties
Space-group type ... P2/m (10)
Formation energy without anion corrections ... -1.170 eV per atom
E ... -38.54 eV for the cell shown
DOS(E_F) ... 0.74 states/eV/atom
Spin magnetization ... 3.00 μB/cell

The structure in extended XYZ format:
```
8
Lattice="4.483 0.000 0.000 0.000 7.835 0.200 0.000 -2.698 7.294" Properties=species:S:1:pos:R:3 pbc="T T T"
U 0.000 0.000 0.000
Ca 0.000 2.568 3.747
Ca 2.241 -1.349 3.647
Te 0.000 -0.117 5.512
Te 0.000 5.254 1.983
Te 2.241 1.259 1.845
Te 2.241 3.877 5.649
Na 2.241 3.917 0.100
```

=====

Computed, not measured: a geometry-optimized NaCaY2Te4 structure at the GGA-PBE level of DFT.

Properties
Space-group type ... P2/m (10)
Formation energy without anion corrections ... -1.409 eV per atom
E ... -40.09 eV for the cell shown
DOS(E_F) ... 0.34 states/eV/atom
Spin magnetization ... 0.00 μB/cell

The structure in extended XYZ format:
```
8
Lattice="4.398 0.000 0.000 0.000 7.619 0.158 0.000 -2.678 7.366" Properties=species:S:1:pos:R:3 pbc="T T T"
Te 2.199 3.701 5.573
Te 0.000 -0.104 5.515
Te 2.199 1.240 1.952
Te 0.000 5.045 2.009
Ca 2.199 3.809 0.079
Y 2.199 -1.339 3.683
Y 0.000 2.471 3.762
Na 0.000 0.000 0.000
```

=====

Computed, not measured: a geometry-optimized NaCa2Y3Te6 structure at the GGA-PBE level of DFT.

Properties
Space-group type ... C2/m (12)
Formation energy without anion corrections ... -1.429 eV per atom
E ... -60.71 eV for the cell shown
DOS(E_F) ... 0.39 states/eV/atom
Spin magnetization ... 0.00 μB/cell

The structure in extended XYZ format:
```
12
Lattice="4.393 0.000 0.000 0.000 8.977 0.193 -2.197 -2.718 9.361" Properties=species:S:1:pos:R:3 pbc="T T T"
Na 2.197 0.000 0.000
Te 2.197 -0.217 3.170
Te 2.197 4.339 3.227
Te 0.000 6.677 0.184
Te 2.197 -0.418 9.371
Te 0.000 6.475 6.384
Te 0.000 1.919 6.327
Y 0.000 6.556 3.272
Y 2.197 4.488 0.097
Y 2.197 -0.298 6.282
Ca 0.000 2.053 3.144
Ca 2.197 4.205 6.410
```

=====

Computed, not measured: a geometry-optimized NaCa4Y3Te8 structure at the GGA-PBE level of DFT.

Properties
Space-group type ... R-3m (166)
Formation energy without anion corrections ... -1.476 eV per atom
E ... -77.47 eV for the cell shown
DOS(E_F) ... 0.26 states/eV/atom
Spin magnetization ... 0.00 μB/cell

The structure in extended XYZ format:
```
16
Lattice="-6.336 5.223 -3.411 -6.243 -5.590 3.039 6.021 3.391 5.597" Properties=species:S:1:pos:R:3 pbc="T T T"
Te -6.312 2.509 -1.754
Te -0.158 1.595 2.736
Te -3.334 4.184 1.012
Te -3.224 -1.160 4.213
Te -6.401 1.429 2.489
Te -0.247 0.515 6.979
Te -3.380 3.098 5.293
Te -3.179 -0.074 -0.067
Y -6.290 -0.183 -0.186
Y -3.279 1.512 2.613
Y -0.111 -1.099 4.318
Ca -0.158 4.307 1.093
Ca 0.000 0.000 0.000
Ca 3.010 1.695 2.799
Ca -3.168 2.612 -1.705
Na -3.122 -2.795 1.519
```

=====

Computed, not measured: a geometry-optimized NaCaYTe2 structure at the GGA-PBE level of DFT.

Properties
Space-group type ... P4/mmm (123)
Formation energy without anion corrections ... -0.134 eV per atom
E ... -16.74 eV for the cell shown
DOS(E_F) ... 0.65 states/eV/atom
Spin magnetization ... 1.24 μB/cell

The structure in extended XYZ format:
```
5
Lattice="-3.560 -1.626 -4.019 1.994 -4.526 0.064 -3.699 -1.574 3.913" Properties=species:S:1:pos:R:3 pbc="T T T"
Na 0.000 0.000 0.000
Te -1.780 -0.813 -2.009
Te -1.849 -0.787 1.956
Y -2.632 -3.863 -0.021
Ca 0.997 -2.263 0.032
```

=====

Copy entry 3 word for word.
Computed, not measured: a geometry-optimized NaCaY2Te4 structure at the GGA-PBE level of DFT.

Properties
Space-group type ... P2/m (10)
Formation energy without anion corrections ... -1.409 eV per atom
E ... -40.09 eV for the cell shown
DOS(E_F) ... 0.34 states/eV/atom
Spin magnetization ... 0.00 μB/cell

The structure in extended XYZ format:
```
8
Lattice="4.398 0.000 0.000 0.000 7.619 0.158 0.000 -2.678 7.366" Properties=species:S:1:pos:R:3 pbc="T T T"
Te 2.199 3.701 5.573
Te 0.000 -0.104 5.515
Te 2.199 1.240 1.952
Te 0.000 5.045 2.009
Ca 2.199 3.809 0.079
Y 2.199 -1.339 3.683
Y 0.000 2.471 3.762
Na 0.000 0.000 0.000
```

=====

The highest E belongs to which entry? NaCaYTe2

=====

Please write out number 1 again, unchanged.
Computed, not measured: a geometry-optimized Na3Ca2UTe6 structure at the GGA-PBE level of DFT.

Properties
Space-group type ... C2/m (12)
Formation energy without anion corrections ... -1.107 eV per atom
E ... -51.38 eV for the cell shown
DOS(E_F) ... 0.02 states/eV/atom
Spin magnetization ... 1.00 μB/cell

The structure in extended XYZ format:
```
12
Lattice="-0.554 2.862 7.214 -3.146 -6.911 -1.697 7.663 -2.022 -0.012" Properties=species:S:1:pos:R:3 pbc="T T T"
Ca -1.419 -0.398 4.242
Ca -2.282 -3.651 1.275
Te -1.044 -3.555 4.202
Te 0.507 -2.977 -0.112
Te 3.456 -3.093 5.616
Te 1.329 0.119 2.712
Te 5.007 -2.516 1.303
Te 2.634 -6.190 2.793
Na 2.836 0.186 5.689
Na 1.127 -6.256 -0.185
Na 1.981 -3.035 2.752
U 0.000 0.000 0.000
```

=====

Look up the formation energy without anion corrections of the sixth one. -0.134 eV per atom